(1)
This record from OQMD via LeMat-Bulk describes an optimized crystal structure of BaGdPd. The functional is GGA-PBE.

Computed properties:
- Symmetry: F-43m
- Excess energy over the best structure of this formula in the dataset: 0.0 meV per atom

a b c (Å): 5.2003 5.2003 5.2003
angles (deg): 60.00 60.00 60.00
With the nearest neighbours (Å) after each atom.
Element x y z (fractional)
1 Ba 0.5000 0.5000 0.5000  4 Pd 3.18
2 Pd 0.2500 0.2500 0.2500  4 Ba 3.18, 4 Gd 3.18
3 Gd 0.0000 0.0000 0.0000  4 Pd 3.18

---

(2)
This record from OQMD via LeMat-Bulk describes an optimized crystal structure of NbPdPt. The functional is GGA-PBE.

Computed properties:
- Symmetry: F-43m
- Excess energy over the best structure of this formula in the dataset: 536.7 meV per atom

a b c (Å): 4.3324 4.3324 4.3324
angles (deg): 60.00 60.00 60.00
With the nearest neighbours (Å) after each atom.
Element x y z (fractional)
1 Pd 0.2500 0.2500 0.2500  4 Nb 2.65
2 Pt 0.7500 0.7500 0.7500  4 Nb 2.65
3 Nb 0.0000 0.0000 0.0000  4 Pd 2.65, 4 Pt 2.65

---

(3)
This record from OQMD via LeMat-Bulk describes an optimized crystal structure of AlNi4. The functional is GGA-PBE.

Computed properties:
- Symmetry: P4_2/mnm
- E_tot: -5.3691 eV per atom

a b c (Å): 8.6229 8.6229 4.5930
angles (deg): 90.00 90.00 90.00
With the nearest neighbours (Å) after each atom.
Element x y z (fractional)
1 Ni 0.8224 0.8224 0.2532  6 Ni 2.27-2.53, 1 Al 2.46
2 Ni 0.6297 0.0364 0.5000  1 Al 2.28, 5 Ni 2.32-2.48
3 Ni 0.6776 0.3224 0.7532  6 Ni 2.27-2.53, 1 Al 2.46
4 Al 0.3814 0.3814 0.0000  2 Ni 2.28
5 Ni 0.2648 0.9333 0.0000  1 Al 2.35, 9 Ni 2.40-2.53
6 Ni 0.9636 0.3703 0.5000  1 Al 2.28, 5 Ni 2.32-2.48
7 Ni 0.7352 0.0667 0.0000  1 Al 2.35, 9 Ni 2.40-2.53
8 Ni 0.8703 0.5364 0.0000  1 Al 2.28, 5 Ni 2.32-2.48
9 Al 0.1186 0.8814 0.5000  2 Ni 2.28
10 Ni 0.1297 0.4636 0.0000  1 Al 2.28, 5 Ni 2.32-2.48
11 Ni 0.4333 0.2352 0.5000  1 Al 2.35, 9 Ni 2.40-2.53
12 Ni 0.8224 0.8224 0.7468  6 Ni 2.27-2.53, 1 Al 2.46
13 Ni 0.5364 0.8703 0.0000  1 Al 2.28, 5 Ni 2.32-2.48
14 Ni 0.3703 0.9636 0.5000  1 Al 2.28, 5 Ni 2.32-2.48
15 Ni 0.3224 0.6776 0.7532  6 Ni 2.27-2.53, 1 Al 2.46
16 Ni 0.0364 0.6297 0.5000  1 Al 2.28, 5 Ni 2.32-2.48
17 Ni 0.2352 0.4333 0.5000  1 Al 2.35, 9 Ni 2.40-2.53
18 Ni 0.3224 0.6776 0.2468  6 Ni 2.27-2.53, 1 Al 2.46
19 Ni 0.1776 0.1776 0.2532  6 Ni 2.27-2.53, 1 Al 2.46
20 Ni 0.5667 0.7648 0.5000  1 Al 2.35, 9 Ni 2.40-2.53
21 Ni 0.0667 0.7352 0.0000  1 Al 2.35, 9 Ni 2.40-2.53
22 Al 0.5000 0.5000 0.5000  8 Ni 2.35-2.46
23 Ni 0.6776 0.3224 0.2468  6 Ni 2.27-2.53, 1 Al 2.46
24 Ni 0.4636 0.1297 0.0000  1 Al 2.28, 5 Ni 2.32-2.48
25 Ni 0.7648 0.5667 0.5000  1 Al 2.35, 9 Ni 2.40-2.53
26 Al 0.8814 0.1186 0.5000  2 Ni 2.28
27 Al 0.6186 0.6186 0.0000  2 Ni 2.28
28 Ni 0.1776 0.1776 0.7468  6 Ni 2.27-2.53, 1 Al 2.46
29 Ni 0.9333 0.2648 0.0000  1 Al 2.35, 9 Ni 2.40-2.53
30 Al 0.0000 0.0000 0.0000  8 Ni 2.35-2.46

---

(4)
This record from OQMD via LeMat-Bulk describes an optimized crystal structure of Ba3TaS6. The functional is GGA-PBE.

Computed properties:
- Symmetry: Fm-3m
- E_tot: -5.6020 eV per atom

a b c (Å): 7.5440 7.5440 7.5440
angles (deg): 120.00 90.00 120.00
With the nearest neighbours (Å) after each atom.
Element x y z (fractional)
1 Ta 0.0000 0.0000 0.0000  6 S 2.42
2 S 0.7731 0.0000 0.7731  1 Ta 2.42
3 S 0.7731 0.0000 0.2269  1 Ta 2.42
4 S 0.2269 0.4538 0.2269  1 Ta 2.42
5 Ba 0.7500 0.5000 0.2500  12 S 3.78
6 S 0.7731 0.5462 0.7731  1 Ta 2.42
7 S 0.2269 0.0000 0.7731  1 Ta 2.42
8 Ba 0.2500 0.5000 0.7500  12 S 3.78
9 Ba 0.5000 0.0000 0.5000  6 S 2.91
10 S 0.2269 0.0000 0.2269  1 Ta 2.42

---

(5)
This record from OQMD via LeMat-Bulk describes an optimized crystal structure of BaMg2AgHg. The functional is GGA-PBE.

Computed properties:
- Symmetry: I4mm
- E_tot: -1.9330 eV per atom

a b c (Å): 7.2787 7.2787 7.2787
angles (deg): 142.85 142.85 53.54
With the nearest neighbours (Å) after each atom.
Element x y z (fractional)
1 Hg 0.3859 0.3859 0.0000  4 Mg 2.94, 1 Ag 3.04
2 Ba 0.0014 0.0014 0.0000  4 Hg 3.61, 4 Ag 3.62, 4 Mg 3.94
3 Mg 0.7466 0.2466 0.5000  2 Ag 2.85, 2 Hg 2.94
4 Ag 0.6195 0.6195 0.0000  4 Mg 2.85, 1 Hg 3.04
5 Mg 0.2466 0.7466 0.5000  2 Ag 2.85, 2 Hg 2.94

---

(6)
This record from OQMD via LeMat-Bulk describes an optimized crystal structure of CdB4W. The functional is GGA-PBE.

Computed properties:
- Symmetry: Immm
- Excess energy over the best structure of this formula in the dataset: 272.9 meV per atom

a b c (Å): 4.7612 4.7612 4.7612
angles (deg): 142.71 112.13 80.08
With the nearest neighbours (Å) after each atom.
Element x y z (fractional)
1 W 0.5000 0.5000 0.0000  12 B 2.51-2.57
2 B 0.0907 0.7522 0.3385  3 B 1.72-1.79
3 Cd 0.0000 0.0000 0.0000  12 B 2.54-2.55
4 B 0.5863 0.2478 0.3385  3 B 1.72-1.79
5 B 0.4137 0.7522 0.6615  3 B 1.72-1.79
6 B 0.9093 0.2478 0.6615  3 B 1.72-1.79